The following is a GGA-PBE calculation of crystalline NdYZnSn at its relaxed geometry, from Alexandria via LeMat-Bulk.

a b c (Å): 7.4581 7.4581 7.4581
angles (deg): 90.00 90.00 90.00
Closest atoms and distances in Å follow each position.
Space group F-43m (No. 216)
Symmetry-distinct sites (fractional):
Nd 0.0000 0.0000 0.0000 x4  4 Zn 3.23, 4 Sn 3.23
Y 0.0000 0.0000 0.5000 x4  4 Sn 3.23, 4 Zn 3.23
Zn 0.2500 0.2500 0.2500 x4  4 Nd 3.23, 4 Y 3.23
Sn 0.2500 0.2500 0.7500 x4  4 Nd 3.23, 4 Y 3.23

Output
- uncorrected energy (eV for the cell shown) = -74.388
- mass density (Mg/m³) = 6.68
- calculated formation energy (eV/atom) = -0.52

***

The following is a GGA-PBE calculation of crystalline HoIrRh3 at its relaxed geometry, from Alexandria via LeMat-Bulk.

a b c (Å): 6.6028 12.9335 4.8222
angles (deg): 90.00 90.00 90.00
Closest atoms and distances in Å follow each position.
Space group Cmcm (No. 63)
Symmetry-distinct sites (fractional):
Ho 0.0000 0.0975 0.2500 x4  2 Rh 2.56
Ir 0.0000 0.3273 0.2500 x4  8 Rh 2.50-2.78
Rh 0.0000 0.5000 0.0000 x4  2 Rh 2.41, 2 Ir 2.54
Rh 0.1902 0.2836 0.7500 x8  3 Ir 2.50-2.78, 3 Rh 2.51-2.68, 1 Ho 2.56

Output
- uncorrected energy (eV for the cell shown) = -137.020
- mass density (Mg/m³) = 10.74
- calculated formation energy (eV/atom) = 0.25

***

The following is a GGA-PBE calculation of crystalline ThTi4Ge4 at its relaxed geometry, from Alexandria via LeMat-Bulk.

a b c (Å): 8.5443 8.5443 5.0527
angles (deg): 90.00 90.00 90.00
Closest atoms and distances in Å follow each position.
Space group P4_2/n (No. 86, origin choice 2)
Symmetry-distinct sites (fractional):
Th 0.2500 0.2500 0.2500 x2  4 Ge 3.17, 4 Ti 3.46
Ti 0.1264 0.6311 0.1543 x8  5 Ge 2.54-2.67
Ge 0.0746 0.5761 0.6680 x8  1 Ge 2.49, 5 Ti 2.54-2.67

Output
- uncorrected energy (eV for the cell shown) = -122.263
- mass density (Mg/m³) = 6.43
- calculated formation energy (eV/atom) = -0.41

***

The following is a GGA-PBE calculation of crystalline FeIrI2N at its relaxed geometry, from Alexandria via LeMat-Bulk.

a b c (Å): 5.2162 5.2162 3.3957
angles (deg): 90.00 90.00 90.00
Closest atoms and distances in Å follow each position.
Space group P4/mmm (No. 123)
Symmetry-distinct sites (fractional):
Fe 0.0000 0.0000 0.0000 x1  2 N 1.70
Ir 0.5000 0.5000 0.5000 x1  8 I 3.11, 2 Ir 3.40
I 0.0000 0.5000 0.0000 x2  2 Fe 2.61
N 0.0000 0.0000 0.5000 x1  2 Fe 1.70

Output
- offset from the most stable computed form (meV/atom) = 141
- uncorrected energy (eV for the cell shown) = -24.114
- mass density (Mg/m³) = 9.27
- ΔE_f (raw) (eV per formula unit) = 4.64

***

The following is a GGA-PBE calculation of crystalline HoErThZr at its relaxed geometry, from Alexandria via LeMat-Bulk.

a b c (Å): 7.7264 7.7264 7.7264
angles (deg): 90.00 90.00 90.00
Closest atoms and distances in Å follow each position.
Space group F-43m (No. 216)
Symmetry-distinct sites (fractional):
Ho 0.0000 0.0000 0.0000 x4  4 Zr 3.35, 4 Er 3.35
Er 0.2500 0.2500 0.2500 x4  4 Th 3.35, 4 Ho 3.35
Th 0.0000 0.0000 0.5000 x4  4 Er 3.35, 4 Zr 3.35
Zr 0.2500 0.2500 0.7500 x4  4 Th 3.35, 4 Ho 3.35

Output
- uncorrected energy (eV for the cell shown) = -97.785
- mass density (Mg/m³) = 9.44
- calculated formation energy (eV/atom) = 0.17

***

The following is a GGA-PBE calculation of crystalline InCu2Pt8 at its relaxed geometry, from Alexandria via LeMat-Bulk.

a b c (Å): 14.2329 3.9687 6.2636
angles (deg): 90.00 105.67 90.00
Closest atoms and distances in Å follow each position.
Space group C2/m (No. 12)
Symmetry-distinct sites (fractional):
In 0.0000 0.0000 0.0000 x2  12 Pt 2.81-2.86
Cu 0.2276 0.5000 0.6365 x4  10 Pt 2.70-2.82, 2 Cu 2.80
Pt 0.0494 0.5000 0.7215 x4  1 Cu 2.73, 9 Pt 2.75-2.91, 2 In 2.85
Pt 0.0972 0.0000 0.4575 x4  3 Cu 2.71-2.74, 8 Pt 2.75-2.96, 1 In 2.83
Pt 0.1415 0.5000 0.1959 x4  3 Cu 2.70-2.73, 7 Pt 2.75-2.91, 2 In 2.86
Pt 0.1839 0.0000 0.9138 x4  8 Pt 2.75-2.83, 3 Cu 2.76-2.82, 1 In 2.81

Output
- uncorrected energy (eV for the cell shown) = -122.462
- mass density (Mg/m³) = 17.57
- calculated formation energy (eV/atom) = -0.18

***

The following is a GGA-PBE calculation of crystalline TiAu2O2 at its relaxed geometry, from Alexandria via LeMat-Bulk.

a b c (Å): 3.6165 3.6165 10.7573
angles (deg): 90.00 90.00 90.00
Closest atoms and distances in Å follow each position.
Space group I4/mmm (No. 139)
Symmetry-distinct sites (fractional):
Ti 0.0000 0.0000 0.0000 x2  8 Au 2.87
Au 0.0000 0.0000 0.3781 x4  4 O 2.27
O 0.0000 0.5000 0.2500 x4  4 Au 2.27

Output
- offset from the most stable computed form (meV/atom) = 1316
- uncorrected energy (eV for the cell shown) = -47.294
- mass density (Mg/m³) = 11.18
- ΔE_f (raw) (eV per formula unit) = 0.72

***

The following is a GGA-PBE calculation of crystalline SrGdCuPd at its relaxed geometry, from Alexandria via LeMat-Bulk.

a b c (Å): 7.2501 7.2501 7.2501
angles (deg): 90.00 90.00 90.00
Closest atoms and distances in Å follow each position.
Space group F-43m (No. 216)
Symmetry-distinct sites (fractional):
Sr 0.0000 0.0000 0.0000 x4  4 Cu 3.14, 4 Pd 3.14
Gd 0.0000 0.0000 0.5000 x4  4 Cu 3.14, 4 Pd 3.14
Cu 0.2500 0.2500 0.2500 x4  4 Gd 3.14, 4 Sr 3.14
Pd 0.2500 0.2500 0.7500 x4  4 Gd 3.14, 4 Sr 3.14

Output
- uncorrected energy (eV for the cell shown) = -105.499
- mass density (Mg/m³) = 7.23
- calculated formation energy (eV/atom) = -0.33

***

The following is a GGA-PBE calculation of crystalline Sc2Ta2Tl at its relaxed geometry, from Alexandria via LeMat-Bulk.

a b c (Å): 4.0644 4.0644 13.7611
angles (deg): 90.00 90.00 90.00
Closest atoms and distances in Å follow each position.
Space group I4/mmm (No. 139)
Symmetry-distinct sites (fractional):
Sc 0.0000 0.5000 0.2500 x4  4 Sc 2.87, 4 Ta 3.01
Ta 0.0000 0.0000 0.0890 x4  1 Ta 2.45
Tl 0.0000 0.0000 0.5000 x2  8 Ta 3.12

Output
- offset from the most stable computed form (meV/atom) = 561
- uncorrected energy (eV for the cell shown) = -69.242
- mass density (Mg/m³) = 9.59
- calculated formation energy (eV/atom) = 0.82

***

The following is a GGA-PBE calculation of crystalline Tb2Y10Er at its relaxed geometry, from Alexandria via LeMat-Bulk.

a b c (Å): 6.5318 15.6796 17.1616
angles (deg): 90.00 90.00 90.00
Closest atoms and distances in Å follow each position.
Space group Fmmm (No. 69)
Symmetry-distinct sites (fractional):
Tb 0.2500 0.2500 0.0000 x8  2 Tb 3.27, 8 Y 3.32-3.52
Y 0.0000 0.1029 0.1013 x16  5 Y 3.23-3.58, 2 Tb 3.32
Y 0.0000 0.1821 0.3289 x16  6 Y 3.45-3.69, 2 Tb 3.52
Y 0.2500 0.0000 0.2500 x8  10 Y 3.27-3.56
Er 0.0000 0.0000 0.5000 x4  12 Y 4.04-4.10, 4 Tb 4.25

Output
- uncorrected energy (eV for the cell shown) = -298.366
- mass density (Mg/m³) = 5.19
- calculated formation energy (eV/atom) = 0.30

***

The following is a GGA-PBE calculation of crystalline Ag3Hg2Pd4 at its relaxed geometry, from Alexandria via LeMat-Bulk.

a b c (Å): 12.6472 9.8897 5.2302
angles (deg): 90.00 98.40 90.00
Closest atoms and distances in Å follow each position.
Space group C2/c (No. 15)
Symmetry-distinct sites (fractional):
Ag 0.0000 0.0110 0.2500 x4  2 Ag 2.62, 4 Pd 2.92-2.93
Ag 0.0987 0.4372 0.4397 x8  3 Pd 2.69-2.88, 2 Hg 2.75-2.95, 4 Ag 2.89-2.95
Hg 0.2343 0.1077 0.1115 x8  5 Pd 2.69-2.94, 2 Ag 2.75-2.95
Pd 0.0570 0.2599 0.9997 x8  3 Ag 2.69-2.93, 1 Hg 2.69, 3 Pd 2.79-2.88
Pd 0.1616 0.1679 0.5789 x8  4 Hg 2.80-2.94, 3 Ag 2.84-2.94, 3 Pd 2.88-2.98

Output
- offset from the most stable computed form (meV/atom) = 108
- uncorrected energy (eV for the cell shown) = -119.355
- mass density (Mg/m³) = 11.81
- calculated formation energy (eV/atom) = 0.01

***

The following is a GGA-PBE calculation of crystalline CoReNi2 at its relaxed geometry, from Alexandria via LeMat-Bulk.

a b c (Å): 5.7474 5.7474 5.7474
angles (deg): 90.00 90.00 90.00
Closest atoms and distances in Å follow each position.
Space group F-43m (No. 216)
Symmetry-distinct sites (fractional):
Co 0.0000 0.0000 0.0000 x4  4 Ni 2.49, 4 Re 2.49
Re 0.2500 0.2500 0.2500 x4  4 Co 2.49, 4 Ni 2.49
Ni 0.0000 0.0000 0.5000 x4  4 Re 2.49, 4 Ni 2.49
Ni 0.2500 0.2500 0.7500 x4  4 Co 2.49, 4 Ni 2.49

Output
- offset from the most stable computed form (meV/atom) = 147
- uncorrected energy (eV for the cell shown) = -121.998
- mass density (Mg/m³) = 12.68
- calculated formation energy (eV/atom) = 0.15